AlRhPb2 | PBE | optimized geometry

The structure in POSCAR format:
```
AlRhPb2
1.0
-0.001 -3.612 -3.015
3.590 1.963 -2.353
2.553 -1.917 2.296
Pb Rh Al
2 1 1
Direct
0.000 0.000 0.000
0.500 0.500 0.000
0.500 0.000 0.500
0.000 0.500 0.500
```

Calculated values
Size of the total moment = 0.00 μB/cell
E = -4.38 eV per atom
DFT formation energy = 0.252 eV/atom
Fermi-level density of states = 2.450 states/eV per cell
Symmetry = Pmmm